(1)
The following is a PBE-GGA calculation of TiSb2TeS after structural relaxation, from Alexandria via LeMat-Bulk.

* symmetry: P4/mmm, No. 123
* total moment: 0.03 μB per atom
* calculated total energy: -4.042 eV per atom

Geometry as POSCAR:
```
TiSb2TeS
1.0
-0.505 -2.946 4.189
-1.017 -4.068 -2.983
4.990 -1.114 -0.181
Sb S Te Ti
2 1 1 1
direct
0.000 0.500 0.000 Sb
0.500 0.000 0.000 Sb
0.000 0.000 0.000 S
0.000 0.000 0.500 Te
0.500 0.500 0.500 Ti
```

(2)
The following is a PBE-GGA calculation of NbFeIr after structural relaxation, from Alexandria via LeMat-Bulk.

* symmetry: Imma, No. 74
* total moment: 0.62 μB per atom
* calculated total energy: -9.444 eV per atom

Geometry as POSCAR:
```
NbFeIr
1.0
-2.205 -2.007 3.807
-3.499 -3.487 -0.793
1.188 -4.686 1.289
Nb Fe Ir
2 2 2
direct
0.883 0.367 0.367 Nb
0.117 0.633 0.633 Nb
0.000 0.000 0.000 Fe
0.500 0.000 0.000 Fe
0.500 0.500 0.000 Ir
0.500 0.000 0.500 Ir
```

(3)
The following is a PBE-GGA calculation of DyTl2HCl6 after structural relaxation, from Alexandria via LeMat-Bulk.

* symmetry: P2_1/c, No. 14
* total moment: 0.00 μB per atom
* calculated total energy: -3.725 eV per atom

Geometry as POSCAR:
```
DyTl2HCl6
1.0
-4.844 -1.720 -3.513
3.261 -4.286 -2.398
-0.904 -8.226 13.472
Dy Tl H Cl
2 4 2 12
direct
0.000 0.500 0.500 Dy
0.500 0.000 0.000 Dy
0.966 0.292 0.220 Tl
0.534 0.792 0.280 Tl
0.466 0.208 0.720 Tl
0.034 0.708 0.780 Tl
0.000 0.500 0.000 H
0.500 0.000 0.500 H
0.934 0.269 0.632 Cl
0.854 0.283 0.000 Cl
0.718 0.278 0.369 Cl
0.782 0.778 0.131 Cl
0.646 0.783 0.500 Cl
0.566 0.769 0.868 Cl
0.434 0.231 0.132 Cl
0.354 0.217 0.500 Cl
0.218 0.222 0.869 Cl
0.146 0.717 0.000 Cl
0.282 0.722 0.631 Cl
0.066 0.731 0.368 Cl
```

(4)
The following is a PBE-GGA calculation of SbTe2As after structural relaxation, from Alexandria via LeMat-Bulk.

* symmetry: Imm2, No. 44
* total moment: 0.00 μB per atom
* calculated total energy: -3.636 eV per atom

Geometry as POSCAR:
```
SbTe2As
1.0
9.099 0.275 -0.009
7.281 5.464 0.009
-8.176 -2.910 2.748
Sb As Te
1 1 2
direct
0.310 0.810 0.500 Sb
0.452 0.452 0.000 As
0.005 0.005 0.000 Te
0.734 0.234 0.500 Te
```

(5)
The following is a PBE-GGA calculation of Zn3Pd3Pt after structural relaxation, from Alexandria via LeMat-Bulk.

* symmetry: P2_13, No. 198
* total moment: 0.00 μB per atom
* calculated total energy: -4.010 eV per atom

Geometry as POSCAR:
```
Zn3Pd3Pt
1.0
-6.809 -2.491 2.158
3.176 -6.281 2.773
0.878 3.402 6.699
Zn Pd Pt
12 12 4
direct
0.767 0.641 0.956 Zn
0.859 0.044 0.267 Zn
0.956 0.767 0.641 Zn
0.141 0.544 0.233 Zn
0.233 0.141 0.544 Zn
0.267 0.859 0.044 Zn
0.044 0.267 0.859 Zn
0.359 0.456 0.733 Zn
0.544 0.233 0.141 Zn
0.641 0.956 0.767 Zn
0.733 0.359 0.456 Zn
0.456 0.733 0.359 Zn
0.864 0.364 0.136 Pd
0.955 0.955 0.955 Pd
0.810 0.690 0.310 Pd
0.136 0.864 0.364 Pd
0.190 0.190 0.190 Pd
0.310 0.810 0.690 Pd
0.045 0.455 0.545 Pd
0.364 0.136 0.864 Pd
0.690 0.310 0.810 Pd
0.636 0.636 0.636 Pd
0.545 0.045 0.455 Pd
0.455 0.545 0.045 Pd
0.095 0.595 0.905 Pt
0.905 0.095 0.595 Pt
0.405 0.405 0.405 Pt
0.595 0.905 0.095 Pt
```

(6)
The following is a PBE-GGA calculation of Mg2CN after structural relaxation, from Alexandria via LeMat-Bulk.

* symmetry: P1, No. 1
* total moment: 0.00 μB per atom
* calculated total energy: -5.217 eV per atom

Geometry as POSCAR:
```
Mg2CN
1.0
3.482 0.000 0.001
0.842 5.383 -0.001
0.233 0.276 5.725
Mg C N
4 2 2
direct
0.880 0.167 0.460 Mg
0.811 0.552 0.069 Mg
0.271 0.028 0.962 Mg
0.243 0.572 0.640 Mg
0.638 0.811 0.404 C
0.429 0.948 0.589 C
0.756 0.548 0.431 N
0.748 0.925 0.186 N
```

(7)
The following is a PBE-GGA calculation of SiP after structural relaxation, from Alexandria via LeMat-Bulk.

* symmetry: P4/nmm, No. 129
* total moment: 0.00 μB per atom
* calculated total energy: -5.178 eV per atom

Geometry as POSCAR:
```
SiP
1.0
4.194 0.000 0.000
0.000 4.194 0.000
0.000 0.000 4.336
P Si
2 2
direct
0.250 0.250 0.260 P
0.750 0.750 0.740 P
0.250 0.750 0.000 Si
0.750 0.250 0.000 Si
```

(8)
The following is a PBE-GGA calculation of AcAg2SbO4 after structural relaxation, from Alexandria via LeMat-Bulk.

* symmetry: C2/c, No. 15
* total moment: 0.00 μB per atom
* calculated total energy: -5.511 eV per atom

Geometry as POSCAR:
```
AcAg2SbO4
1.0
-2.747 4.257 -6.205
-5.697 -5.476 -1.312
1.817 2.822 6.708
Ac Ag Sb O
2 4 2 8
direct
0.000 0.500 0.000 Ac
0.000 0.500 0.500 Ac
0.500 0.000 0.000 Ag
0.500 0.000 0.500 Ag
0.000 0.000 0.500 Ag
0.500 0.500 0.000 Ag
0.500 0.500 0.500 Sb
0.000 0.000 0.000 Sb
0.195 0.783 0.029 O
0.717 0.305 0.471 O
0.283 0.695 0.529 O
0.805 0.217 0.971 O
0.826 0.779 0.025 O
0.721 0.674 0.475 O
0.279 0.326 0.525 O
0.174 0.221 0.975 O
```